Entry 1:
AlCSeN2 after structural relaxation. Source: the Alexandria database, functional PBE.

Cell: 3.4829 3.4829 7.4457 Å, 90.00 90.00 90.00°
With the nearest neighbours (Å) after each atom.
Fractional coordinates of all 5 atoms:
Al (0.0000, 0.0000, 0.0000)  4 N 1.74
C (0.5000, 0.5000, 0.5000)  4 Se 2.46
Se (0.0000, 0.0000, 0.5000)  4 C 2.46
N (0.0000, 0.5000, 0.0000)  2 Al 1.74
N (0.5000, 0.0000, 0.0000)  2 Al 1.74

Calculated values
Total magnetization = 0.8 μB per cell
Calculated density = 2.68 Mg/m³
Energy above the most stable polymorph in this dataset = 0.0000 eV per atom
ΔE_f (raw) = 1778 meV per atom



Entry 2:
AlCSeN2 after structural relaxation. Source: the Alexandria database, functional PBE.

Cell: 3.5927 3.5927 4.1882 Å, 90.00 90.00 90.00°
With the nearest neighbours (Å) after each atom.
Fractional coordinates of all 5 atoms:
Al (0.0000, 0.0000, 0.0000)  4 Se 2.54, 8 N 2.76
C (0.5000, 0.5000, 0.5000)  4 N 1.80
Se (0.5000, 0.5000, 0.0000)  2 C 2.09
N (0.0000, 0.5000, 0.5000)  2 C 1.80
N (0.5000, 0.0000, 0.5000)  2 C 1.80

Calculated values
Total magnetization = 0.0 μB per cell
Calculated density = 4.48 Mg/m³
Energy above the most stable polymorph in this dataset = 0.2229 eV per atom
ΔE_f (raw) = 2001 meV per atom



Entry 3:
AlCSe2N after structural relaxation. Source: the Alexandria database, functional PBE.

Cell: 6.0040 6.0040 2.4994 Å, 90.00 90.00 90.00°
With the nearest neighbours (Å) after each atom.
Fractional coordinates of all 5 atoms:
Al (0.0000, 0.0000, 0.0000)  2 Al 2.50
C (0.5000, 0.5000, 0.5000)  2 N 1.25
Se (0.0000, 0.5000, 0.5000)  2 Se 2.50
Se (0.5000, 0.0000, 0.5000)  2 Se 2.50
N (0.5000, 0.5000, 0.0000)  2 C 1.25

Calculated values
Total magnetization = 0.0 μB per cell
Calculated density = 3.89 Mg/m³
Energy above the most stable polymorph in this dataset = 0.0000 eV per atom
ΔE_f (raw) = 586 meV per atom



Entry 4:
AlCSe2N after structural relaxation. Source: the Alexandria database, functional PBE.

Cell: 4.9617 4.9617 3.4972 Å, 90.00 90.00 90.00°
With the nearest neighbours (Å) after each atom.
Fractional coordinates of all 5 atoms:
Al (0.0000, 0.0000, 0.0000)  2 N 1.75
C (0.5000, 0.5000, 0.5000)  8 Se 3.04
Se (0.0000, 0.5000, 0.0000)  2 Al 2.48
Se (0.5000, 0.0000, 0.0000)  2 Al 2.48
N (0.0000, 0.0000, 0.5000)  2 Al 1.75

Calculated values
Total magnetization = 0.0 μB per cell
Calculated density = 4.07 Mg/m³
Energy above the most stable polymorph in this dataset = 1.0072 eV per atom
ΔE_f (raw) = 1594 meV per atom



Entry 5:
Al9SiC7N after structural relaxation. Source: the Alexandria database, functional PBE.

Cell: 3.3240 3.3240 21.8092 Å, 90.00 90.00 120.00°
With the nearest neighbours (Å) after each atom.
Fractional coordinates of all 18 atoms:
Al (0.0000, 0.0000, 0.0000)  4 C 1.93-2.16
Al (0.0000, 0.0000, 0.1888)  4 C 1.95-2.18
Al (0.0000, 0.0000, 0.4095)  1 N 1.83
Al (0.3333, 0.6667, 0.7158)  3 C 1.94
Al (0.3333, 0.6667, 0.9079)  1 C 1.93
Al (0.6667, 0.3333, 0.1042)  3 C 1.95
Al (0.6667, 0.3333, 0.2938)  1 C 1.93, 3 N 2.04
Al (0.6667, 0.3333, 0.6111)  4 C 2.00-2.03
Al (0.6667, 0.3333, 0.8014)  4 C 1.96-2.15
Si (0.3333, 0.6667, 0.5014)  1 C 1.74
C (0.0000, 0.0000, 0.0886)  4 Al 1.93-1.95
C (0.3333, 0.6667, 0.5812)  1 Si 1.74
C (0.3333, 0.6667, 0.8195)  4 Al 1.93-1.96
C (0.6667, 0.3333, 0.2051)  4 Al 1.93-1.95
C (0.6667, 0.3333, 0.4555)  3 Si 2.16, 3 Al 2.17
C (0.6667, 0.3333, 0.7030)  5 Al 1.94-2.15
C (0.6667, 0.3333, 0.9545)  6 Al 2.16-2.17
N (0.0000, 0.0000, 0.3255)  4 Al 1.83-2.04

Calculated values
Total magnetization = 0.0 μB per cell
Calculated density = 2.94 Mg/m³
ΔE_f (raw) = -100 meV per atom



Entry 6:
AlSiCN after structural relaxation. Source: the Alexandria database, functional PBE.

Cell: 3.1094 3.1094 5.0550 Å, 90.00 90.00 120.00°
With the nearest neighbours (Å) after each atom.
Fractional coordinates of all 4 atoms:
Al (0.0000, 0.0000, 0.0000)  3 N 1.91, 1 C 2.01
Si (0.3333, 0.6667, 0.4901)  1 N 1.82, 3 C 1.88
C (0.0000, 0.0000, 0.6015)  3 Si 1.88, 1 Al 2.01
N (0.3333, 0.6667, 0.1299)  1 Si 1.82, 3 Al 1.91

Calculated values
Total magnetization = 0.0 μB per cell
Calculated density = 3.18 Mg/m³
ΔE_f (raw) = -772 meV per atom



Entry 7:
TaAlCN after structural relaxation. Source: the Alexandria database, functional PBE.

Cell: 9.2325 9.2325 9.2325 Å, 21.94 21.94 21.94°
With the nearest neighbours (Å) after each atom.
Fractional coordinates of all 8 atoms:
Ta (0.2066, 0.2066, 0.2066)  3 C 2.03
Ta (0.7934, 0.7934, 0.7934)  3 C 2.03
Al (0.3696, 0.3696, 0.3696)  4 N 1.99-2.03
Al (0.6304, 0.6304, 0.6304)  4 N 1.99-2.03
C (0.1220, 0.1220, 0.1220)  3 Ta 2.03
C (0.8780, 0.8780, 0.8780)  3 Ta 2.03
N (0.2959, 0.2959, 0.2959)  4 Al 1.99-2.03
N (0.7041, 0.7041, 0.7041)  4 Al 1.99-2.03

Calculated values
Total magnetization = 0.0 μB per cell
Calculated density = 8.06 Mg/m³
ΔE_f (raw) = -449 meV per atom



Entry 8:
AlTe2CN after structural relaxation. Source: the Alexandria database, functional PBE.

Cell: 6.3450 6.3450 2.6466 Å, 90.00 90.00 90.00°
With the nearest neighbours (Å) after each atom.
Fractional coordinates of all 5 atoms:
Al (0.0000, 0.0000, 0.0000)  2 Al 2.65
Te (0.0000, 0.5000, 0.5000)  2 Te 2.65
Te (0.5000, 0.0000, 0.5000)  2 Te 2.65
C (0.5000, 0.5000, 0.5000)  2 N 1.32
N (0.5000, 0.5000, 0.0000)  2 C 1.32

Calculated values
Total magnetization = 0.0 μB per cell
Calculated density = 4.80 Mg/m³
Energy above the most stable polymorph in this dataset = 0.0000 eV per atom
ΔE_f (raw) = 876 meV per atom



Entry 9:
AlTe2CN after structural relaxation. Source: the Alexandria database, functional PBE.

Cell: 5.4668 5.4668 3.4304 Å, 90.00 90.00 90.00°
With the nearest neighbours (Å) after each atom.
Fractional coordinates of all 5 atoms:
Al (0.0000, 0.0000, 0.0000)  2 N 1.72
Te (0.0000, 0.5000, 0.0000)  2 Al 2.73
Te (0.5000, 0.0000, 0.0000)  2 Al 2.73
C (0.5000, 0.5000, 0.5000)  8 Te 3.23, 2 C 3.43
N (0.0000, 0.0000, 0.5000)  2 Al 1.72

Calculated values
Total magnetization = 0.0 μB per cell
Calculated density = 4.99 Mg/m³
Energy above the most stable polymorph in this dataset = 0.6488 eV per atom
ΔE_f (raw) = 1524 meV per atom



Entry 10:
Ti8Al4CN3 after structural relaxation. Source: the Alexandria database, functional PBE.

Cell: 3.0174 3.0174 27.2876 Å, 90.00 90.00 120.00°
With the nearest neighbours (Å) after each atom.
Fractional coordinates of all 16 atoms:
Ti (0.3333, 0.6667, 0.0424)  3 N 2.09
Ti (0.3333, 0.6667, 0.2063)  3 N 2.09
Ti (0.3333, 0.6667, 0.5426)  3 C 2.10
Ti (0.3333, 0.6667, 0.7090)  3 N 2.09
Ti (0.6667, 0.3333, 0.2910)  3 N 2.09
Ti (0.6667, 0.3333, 0.4574)  3 C 2.10
Ti (0.6667, 0.3333, 0.7937)  3 N 2.09
Ti (0.6667, 0.3333, 0.9576)  3 N 2.09
Al (0.3333, 0.6667, 0.3735)  6 Ti 2.85-2.88, 6 Al 3.02
Al (0.3333, 0.6667, 0.8756)  6 Ti 2.83, 6 Al 3.02
Al (0.6667, 0.3333, 0.1244)  6 Ti 2.83, 6 Al 3.02
Al (0.6667, 0.3333, 0.6265)  6 Ti 2.85-2.88, 6 Al 3.02
C (0.0000, 0.0000, 0.5000)  6 Ti 2.10
N (0.0000, 0.0000, 0.0000)  6 Ti 2.09
N (0.0000, 0.0000, 0.2489)  6 Ti 2.09
N (0.0000, 0.0000, 0.7511)  6 Ti 2.09

Calculated values
Total magnetization = 0.0 μB per cell
Calculated density = 4.21 Mg/m³
ΔE_f (raw) = -1053 meV per atom



Entry 11:
ZrAlCN2 after structural relaxation. Source: the Alexandria database, functional PBE.

Cell: 4.0062 4.0062 6.2163 Å, 90.00 90.00 90.00°
With the nearest neighbours (Å) after each atom.
Fractional coordinates of all 5 atoms:
Zr (0.0000, 0.0000, 0.0000)  4 N 2.00
Al (0.0000, 0.0000, 0.5000)  4 C 2.83, 2 Zr 3.11
C (0.5000, 0.5000, 0.5000)  4 Al 2.83
N (0.0000, 0.5000, 0.0000)  2 Zr 2.00
N (0.5000, 0.0000, 0.0000)  2 Zr 2.00

Calculated values
Total magnetization = 0.0 μB per cell
Calculated density = 2.63 Mg/m³
ΔE_f (raw) = 1905 meV per atom



Entry 12:
NaAlC after structural relaxation. Source: the Alexandria database, functional PBE.

Cell: 4.2280 4.2280 6.1850 Å, 90.00 90.00 98.19°
With the nearest neighbours (Å) after each atom.
Fractional coordinates of all 6 atoms:
Na (0.0602, 0.9398, 0.7500)  1 C 2.53
Na (0.9398, 0.0602, 0.2500)  1 C 2.53
Al (0.5000, 0.5000, 0.0000)  2 C 1.87
Al (0.5000, 0.5000, 0.5000)  2 C 1.87
C (0.3352, 0.6648, 0.2500)  2 Al 1.87
C (0.6648, 0.3352, 0.7500)  2 Al 1.87

Calculated values
Total magnetization = 0.0 μB per cell
Calculated density = 1.88 Mg/m³
Energy relative to the elements = 2.07 eV/f.u.